1.
VASP calculation (PBE) on a geometry-optimized NdSm2Tm structure.

Cell: 5.0902 5.0902 5.1119 Å, 90.00 90.00 90.00°
Atoms (fractional coordinates):
Nd  0.0000  0.0000  0.0000
Sm  0.0000  0.5000  0.5000
Sm  0.5000  0.0000  0.5000
Tm  0.5000  0.5000  0.0000

Results
- E_form (eV per atom) = 0.018
- excess energy over the best structure of this formula in the dataset (eV per formula unit) = 0.00
- final energy (eV/atom) = -4.652
- density (g/cm³) = 7.7

2.
VASP calculation (PBE) on a geometry-optimized Li2TbZn10 structure.

Cell: 9.0799 6.8875 6.8644 Å, 82.64 48.79 48.57°
Atoms (fractional coordinates):
Li  0.0000  0.0000  0.5000
Li  0.5000  0.5000  0.0000
Tb  0.0000  0.0000  0.0000
Zn  0.0000  0.5000  0.0000
Zn  0.0067  0.6471  0.3529
Zn  0.2819  0.5048  0.4952
Zn  0.3529  0.9933  0.0067
Zn  0.4952  0.7181  0.2819
Zn  0.5000  0.0000  0.5000
Zn  0.5048  0.2819  0.7181
Zn  0.6471  0.0067  0.9933
Zn  0.7181  0.4952  0.5048
Zn  0.9933  0.3529  0.6471

Results
- E_form (eV per atom) = -0.191
- final energy (eV/atom) = -1.822
- density (g/cm³) = 6.8

3.
VASP calculation (PBE) on a geometry-optimized Cs2UCuS5 structure.

Cell: 10.4661 10.4661 14.0650 Å, 90.00 90.00 157.62°
Atoms (fractional coordinates):
Cs  0.1155  0.8845  0.5000
Cs  0.1201  0.8799  0.1234
Cs  0.8799  0.1201  0.6234
Cs  0.8845  0.1155  0.0000
U  0.2069  0.7931  0.8246
U  0.7931  0.2069  0.3246
Cu  0.4089  0.5911  0.2469
Cu  0.5911  0.4089  0.7469
S  0.0853  0.9147  0.8346
S  0.2903  0.7097  0.4428
S  0.2991  0.7009  0.2037
S  0.3248  0.6752  0.8133
S  0.4836  0.5164  0.1372
S  0.5164  0.4836  0.6372
S  0.6752  0.3248  0.3133
S  0.7009  0.2991  0.7037
S  0.7097  0.2903  0.9428
S  0.9147  0.0853  0.3346

Results
- final energy (eV/atom) = -5.161
- density (g/cm³) = 4.1

4.
VASP calculation (PBE) on a geometry-optimized MgTl2OsO6 structure.

Cell: 10.0770 10.0770 10.0770 Å, 34.06 34.06 34.06°
Atoms (fractional coordinates):
Mg  0.0992  0.0992  0.0992
Mg  0.9008  0.9008  0.9008
Tl  0.2227  0.2227  0.2227
Tl  0.3696  0.3696  0.3696
Tl  0.6304  0.6304  0.6304
Tl  0.7773  0.7773  0.7773
Os  0.0000  0.0000  0.0000
Os  0.5000  0.5000  0.5000
O  0.1082  0.1082  0.6650
O  0.1082  0.6650  0.1082
O  0.2358  0.6890  0.6890
O  0.3110  0.3110  0.7642
O  0.3110  0.7642  0.3110
O  0.3350  0.8918  0.8918
O  0.6650  0.1082  0.1082
O  0.6890  0.2358  0.6890
O  0.6890  0.6890  0.2358
O  0.7642  0.3110  0.3110
O  0.8918  0.3350  0.8918
O  0.8918  0.8918  0.3350

Results
- final energy (eV/atom) = -5.913
- density (g/cm³) = 8.4